This record from Alexandria describes crystalline PuZr3Zn8 at its relaxed geometry. The functional is PBE.

Cell lengths 5.338, 5.338, 8.441 Å; angles 90.00, 90.00, 120.00 degrees
Element x y z (fractional)
Pu 0.000 0.000 0.000
Zr 0.000 0.000 0.354
Zr 0.667 0.333 0.501
Zr 0.667 0.333 0.871
Zn 0.162 0.323 0.676
Zn 0.162 0.838 0.676
Zn 0.333 0.667 0.433
Zn 0.333 0.667 0.932
Zn 0.506 0.012 0.190
Zn 0.506 0.494 0.190
Zn 0.677 0.838 0.676
Zn 0.988 0.494 0.190

- VASP energy (eV/atom) = -4.396
- energy of formation from the pure elements (eV per atom) = -0.215